Entry 1:
Entry from Alexandria via LeMat-Bulk: an optimized crystal structure of MnV2Au (PBE).

Lattice parameters (Å, degrees): 4.3870 4.3870 4.3870 60.00 60.00 60.00
With the nearest neighbours (Å) after each atom.
Fractional coordinates of all 4 atoms:
Au (0.5000, 0.5000, 0.5000)  8 V 2.69
Mn (0.0000, 0.0000, 0.0000)  8 V 2.69
V (0.2500, 0.2500, 0.2500)  4 Au 2.69, 4 Mn 2.69
V (0.7500, 0.7500, 0.7500)  4 Mn 2.69, 4 Au 2.69

Properties
The calculation puts the formation energy from the elements at 0.1467 eV/atom. For the polymorph energy (0 for the lowest one), the calculation gives 179 meV per atom. The density of states at the Fermi level comes out at 1.321 states/eV per atom.


Entry 2:
Entry from Alexandria via LeMat-Bulk: an optimized crystal structure of MnVAu2 (PBE).

Lattice parameters (Å, degrees): 2.8392 2.8392 9.9445 81.79 81.79 60.00
With the nearest neighbours (Å) after each atom.
Fractional coordinates of all 4 atoms:
V (0.0000, 0.0000, 0.0000)  2 Au 2.65, 6 V 2.84
Au (0.9099, 0.9099, 0.2703)  1 V 2.65, 3 Mn 2.79, 6 Au 2.84
Au (0.0901, 0.0901, 0.7297)  1 V 2.65, 3 Mn 2.79, 6 Au 2.84
Mn (0.5000, 0.5000, 0.5000)  6 Au 2.79, 6 Mn 2.84

Properties
The calculation puts the formation energy from the elements at 0.4404 eV/atom. The density of states at the Fermi level comes out at 1.022 states/eV per atom.


Entry 3:
Entry from Alexandria via LeMat-Bulk: an optimized crystal structure of MnVZnAu2 (PBE).

Lattice parameters (Å, degrees): 4.6421 4.4456 4.6421 90.00 90.00 90.00
With the nearest neighbours (Å) after each atom.
Fractional coordinates of all 5 atoms:
Au (0.0000, 0.0000, 0.5000)  2 Zn 2.32
Au (0.5000, 0.0000, 0.0000)  2 Zn 2.32
Zn (0.0000, 0.0000, 0.0000)  2 Mn 2.22, 4 Au 2.32
Mn (0.0000, 0.5000, 0.0000)  2 Zn 2.22
V (0.5000, 0.5000, 0.5000)  8 Au 3.21, 4 Mn 3.28

Properties
The calculation puts the formation energy from the elements at 1.2959 eV/atom. The density of states at the Fermi level comes out at 1.027 states/eV per atom.


Entry 4:
Entry from Alexandria via LeMat-Bulk: an optimized crystal structure of Mn2WAu (PBE).

Lattice parameters (Å, degrees): 2.7779 2.7779 8.0231 90.00 90.00 100.14
With the nearest neighbours (Å) after each atom.
Fractional coordinates of all 4 atoms:
W (0.5000, 0.5000, 0.2500)  8 Mn 2.62-2.87, 4 W 2.78
Au (0.5000, 0.5000, 0.7500)  8 Mn 2.75-2.99, 4 Au 2.78
Mn (0.0000, 0.0000, 0.0107)  4 W 2.62-2.87, 2 Au 2.75, 4 Mn 2.78
Mn (0.0000, 0.0000, 0.4893)  4 W 2.62-2.87, 2 Au 2.75, 4 Mn 2.78

Properties
The calculation puts the formation energy from the elements at 0.2109 eV/atom. For the polymorph energy (0 for the lowest one), the calculation gives 56 meV per atom. The density of states at the Fermi level comes out at 0.807 states/eV per atom.


Repeat the first record exactly.
Entry from Alexandria via LeMat-Bulk: an optimized crystal structure of MnV2Au (PBE).

Lattice parameters (Å, degrees): 4.3870 4.3870 4.3870 60.00 60.00 60.00
With the nearest neighbours (Å) after each atom.
Fractional coordinates of all 4 atoms:
Au (0.5000, 0.5000, 0.5000)  8 V 2.69
Mn (0.0000, 0.0000, 0.0000)  8 V 2.69
V (0.2500, 0.2500, 0.2500)  4 Au 2.69, 4 Mn 2.69
V (0.7500, 0.7500, 0.7500)  4 Mn 2.69, 4 Au 2.69

Properties
The calculation puts the formation energy from the elements at 0.1467 eV/atom. For the polymorph energy (0 for the lowest one), the calculation gives 179 meV per atom. The density of states at the Fermi level comes out at 1.321 states/eV per atom.